LaMn2Pb | PBE-GGA | relaxed

Structure (POSCAR):
```
LaMn2Pb
1.0
-3.907 -0.219 -2.204
-1.947 -1.791 3.629
-4.933 6.811 3.494
Pb Mn La
2 4 2
direct
0.000 0.000 0.000
0.750 0.250 0.500
0.531 0.125 0.250
0.219 0.625 0.250
0.375 0.469 0.750
0.875 0.781 0.750
0.500 0.500 0.000
0.250 0.750 0.500
```

Output
formation energy	989	meV/atom
Fermi-level density of states	1.72	states/eV/atom

ZnFeTc2 | PBE-GGA | relaxed

Structure (POSCAR):
```
ZnFeTc2
1.0
2.662 0.000 0.000
0.000 2.662 0.000
0.000 0.000 7.614
Fe Tc Zn
1 2 1
direct
0.500 0.500 0.750
0.000 0.000 0.982
0.000 0.000 0.518
0.500 0.500 0.250
```

Output
formation energy	114	meV/atom
Fermi-level density of states	0.89	states/eV/atom

SrLa2Nd | PBE-GGA | relaxed

Structure (POSCAR):
```
SrLa2Nd
1.0
-4.590 -2.243 1.599
2.570 -4.710 0.769
1.085 1.427 5.115
Sr Nd La
1 1 2
direct
0.500 0.000 0.000
0.500 0.500 0.500
0.000 0.000 0.500
0.000 0.500 0.000
```

Output
energy relative to the lowest polymorph listed for this composition	0.27	eV/f.u.
formation energy	140	meV/atom
Fermi-level density of states	1.89	states/eV/atom

La5Pm4Tm3 | PBE-GGA | relaxed

Structure (POSCAR):
```
La5Pm4Tm3
1.0
5.803 0.000 0.000
2.902 8.520 -3.608
2.902 -1.546 9.196
La Pm Tm
5 4 3
direct
0.749 0.920 0.581
0.500 0.500 0.500
0.319 0.290 0.071
0.681 0.710 0.929
0.251 0.080 0.419
0.947 0.250 0.856
0.175 0.855 0.794
0.825 0.145 0.206
0.053 0.750 0.144
0.543 0.640 0.273
0.000 0.500 0.500
0.457 0.360 0.727
```

Output
formation energy	236	meV/atom
Fermi-level density of states	1.63	states/eV/atom

TbDy3In | PBE-GGA | relaxed

Structure (POSCAR):
```
TbDy3In
1.0
-1.425 -4.215 -1.856
-1.102 -1.573 4.418
-12.364 2.404 -2.227
Tb Dy In
2 6 2
direct
0.474 0.750 0.701
0.175 0.250 0.299
0.772 0.250 0.104
0.373 0.250 0.901
0.574 0.250 0.500
0.275 0.750 0.099
0.876 0.750 0.896
0.074 0.750 0.500
0.671 0.750 0.306
0.977 0.250 0.694
```

Output
formation energy	-186	meV/atom
Fermi-level density of states	1.22	states/eV/atom

Na2ZrV2 | PBE-GGA | relaxed

Structure (POSCAR):
```
Na2ZrV2
1.0
3.174 0.000 0.000
0.000 3.174 0.000
1.587 1.587 11.928
Na Zr V
2 1 2
direct
0.375 0.375 0.251
0.625 0.625 0.749
0.000 0.000 0.000
0.750 0.250 0.500
0.250 0.750 0.500
```

Output
energy relative to the lowest polymorph listed for this composition	0.00	eV/f.u.
formation energy	840	meV/atom
Fermi-level density of states	0.95	states/eV/atom

Calculated values (μB per cell) of total moment for the records, taken in order: 0.00, 1.09, 0.00, 0.00, 0.00, 0.00.